Material: PuTa2V
Method: DFT, PBE
State: optimized geometry

Structure (POSCAR):
```
PuTa2V
1.0
3.157 0.000 0.000
0.000 3.157 0.000
0.000 0.000 7.454
Pu Ta V
1 2 1
Cartesian
0.000 0.000 0.000
1.579 1.579 2.183
1.579 1.579 5.271
0.000 0.000 3.727
```

ΔE_f   208.6 meV per atom
Symmetry   P4/mmm (123)
ΔE to the lowest computed polymorph   0.000 eV/atom
Magnetization   5.52 μB per cell
Density   14.681 g cm⁻³